Entry 1:
A plane-wave DFT calculation with PBE-GGA was carried out for a relaxed structure of SiBi2Cl.

Values from the calculation:
Spin magnetization, μB/f.u.: 0.00
Fermi-level density of states, states/eV/cell: 1.695
Raw formation energy, eV/f.u.: 0.5
Symmetry: No. 225
Calculated density, g/cm3: 8.25
Polymorph energy (0 for the lowest one), eV/f.u.: 0.000

Cell lengths 5.156, 5.156, 5.156 Å; angles 60.00, 60.00, 60.00 degrees
Sites, in units of the cell vectors:
Si 0.000 0.000 0.000
Bi 0.250 0.250 0.250
Bi 0.750 0.750 0.750
Cl 0.500 0.500 0.500

Entry 2:
A plane-wave DFT calculation with PBE-GGA was carried out for a relaxed structure of SiBiCl2.

Values from the calculation:
Spin magnetization, μB/f.u.: 0.00
Fermi-level density of states, states/eV/cell: 3.945
Raw formation energy, eV/f.u.: 1.4
Symmetry: No. 122
Calculated density, g/cm3: 3.36
Polymorph energy (0 for the lowest one), eV/f.u.: 1.685

Cell lengths 7.501, 7.501, 7.574 Å; angles 60.32, 60.32, 90.00 degrees
Sites, in units of the cell vectors:
Si 0.500 0.500 0.000
Si 0.250 0.750 0.500
Bi 0.000 0.000 0.000
Bi 0.750 0.250 0.500
Cl 0.439 0.125 0.250
Cl 0.311 0.625 0.250
Cl 0.375 0.561 0.750
Cl 0.875 0.689 0.750

Entry 3:
A plane-wave DFT calculation with PBE-GGA was carried out for a relaxed structure of SiBiCl2.

Values from the calculation:
Spin magnetization, μB/f.u.: 0.00
Fermi-level density of states, states/eV/cell: 1.930
Raw formation energy, eV/f.u.: -0.1
Symmetry: No. 166
Calculated density, g/cm3: 5.08
Polymorph energy (0 for the lowest one), eV/f.u.: 0.196

Cell lengths 9.884, 9.884, 9.884 Å; angles 20.19, 20.19, 20.19 degrees
Sites, in units of the cell vectors:
Si 0.500 0.500 0.500
Bi 0.000 0.000 0.000
Cl 0.905 0.905 0.905
Cl 0.095 0.095 0.095

Entry 4:
A plane-wave DFT calculation with PBE-GGA was carried out for a relaxed structure of SiBiCl2.

Values from the calculation:
Spin magnetization, μB/f.u.: 0.00
Fermi-level density of states, states/eV/cell: 1.315
Raw formation energy, eV/f.u.: -0.3
Symmetry: No. 166
Calculated density, g/cm3: 5.28
Polymorph energy (0 for the lowest one), eV/f.u.: 0.000

Cell lengths 9.895, 9.895, 9.895 Å; angles 19.76, 19.76, 19.76 degrees
Sites, in units of the cell vectors:
Si 0.000 0.000 0.000
Bi 0.500 0.500 0.500
Cl 0.916 0.916 0.916
Cl 0.084 0.084 0.084

Entry 5:
A plane-wave DFT calculation with PBE-GGA was carried out for a relaxed structure of SiBi3Cl.

Values from the calculation:
Spin magnetization, μB/f.u.: 0.00
Fermi-level density of states, states/eV/cell: 3.752
Raw formation energy, eV/f.u.: 2.2
Symmetry: No. 221
Calculated density, g/cm3: 7.09
Polymorph energy (0 for the lowest one), eV/f.u.: 0.000

Cell lengths 5.447, 5.447, 5.447 Å; angles 90.00, 90.00, 90.00 degrees
Sites, in units of the cell vectors:
Si 0.000 0.000 0.000
Bi 0.000 0.500 0.000
Bi 0.000 0.000 0.500
Bi 0.500 0.000 0.000
Cl 0.500 0.500 0.500

Entry 6:
A plane-wave DFT calculation with PBE-GGA was carried out for a relaxed structure of SiBiCl2.

Values from the calculation:
Spin magnetization, μB/f.u.: 0.00
Fermi-level density of states, states/eV/cell: 3.393
Raw formation energy, eV/f.u.: 1.2
Symmetry: No. 225
Calculated density, g/cm3: 5.55
Polymorph energy (0 for the lowest one), eV/f.u.: 1.516

Cell lengths 5.071, 5.071, 5.071 Å; angles 60.00, 60.00, 60.00 degrees
Sites, in units of the cell vectors:
Si 0.000 0.000 0.000
Bi 0.500 0.500 0.500
Cl 0.250 0.250 0.250
Cl 0.750 0.750 0.750

Entry 7:
A plane-wave DFT calculation with PBE-GGA was carried out for a relaxed structure of Si2Bi2Cl.

Values from the calculation:
Spin magnetization, μB/f.u.: 0.00
Fermi-level density of states, states/eV/cell: 0.664
Raw formation energy, eV/f.u.: 0.3
Symmetry: No. 139
Calculated density, g/cm3: 6.19

Cell lengths 4.275, 4.275, 8.068 Å; angles 74.64, 74.64, 90.00 degrees
Sites, in units of the cell vectors:
Si 0.750 0.250 0.500
Si 0.250 0.750 0.500
Bi 0.374 0.374 0.251
Bi 0.626 0.626 0.749
Cl 0.000 0.000 0.000

Entry 8:
A plane-wave DFT calculation with PBE-GGA was carried out for a relaxed structure of SiBi2Cl.

Values from the calculation:
Spin magnetization, μB/f.u.: 0.00
Fermi-level density of states, states/eV/cell: 3.804
Raw formation energy, eV/f.u.: 0.8
Symmetry: No. 122
Calculated density, g/cm3: 5.61
Polymorph energy (0 for the lowest one), eV/f.u.: 0.299

Cell lengths 7.220, 7.220, 7.484 Å; angles 61.16, 61.16, 90.00 degrees
Sites, in units of the cell vectors:
Si 0.500 0.500 0.000
Si 0.250 0.750 0.500
Bi 0.590 0.125 0.250
Bi 0.160 0.625 0.250
Bi 0.375 0.410 0.750
Bi 0.875 0.840 0.750
Cl 0.000 0.000 0.000
Cl 0.750 0.250 0.500